This record from the Alexandria database describes a geometry-optimized K4Cr3F10 structure. The functional is PBE with a Hubbard U.

```
17
Lattice="-2.9653 -1.1927 2.6773 2.9276 -1.0221 2.7871 -0.5090 15.5682 3.1253" Properties=species:S:1:pos:R:3 pbc="T T T"
F -0.4782 11.4749 7.8289
F -0.3237 7.2441 6.1151
F -1.8653 9.8848 5.5842
F -0.0686 1.8784 0.7609
F 1.3185 3.4686 3.0056
F -0.2230 6.1092 2.4746
F -1.6279 3.3833 2.9507
F 1.4638 -0.5111 1.3936
F 1.0812 9.9701 5.6391
F -1.4827 -0.5964 1.3387
K -0.0881 0.7885 3.5002
K -0.4587 12.5648 5.0896
K -0.2359 4.8386 5.1408
K -0.3108 8.5147 3.4490
Cr -0.3999 9.3311 6.9605
Cr -0.1468 4.0222 1.6293
Cr 0.0000 0.0000 0.0000
```

Calculated values
final energy	-91.1	eV/cell